PuGa4Pt | the Alexandria database | PBE-GGA | optimized geometry; raw total energy = -5.96 eV per atom; total magnetic moment = 0.8955 μB/atom; DOS at the Fermi energy = 18.6 states/eV per cell
1.0
4.277 0.000 0.000
0.000 6.598 0.000
-2.129 0.000 7.963
Pu Ga Pt
2 8 2
Direct
0.117 0.250 0.232 Pu
0.883 0.750 0.768 Pu
0.064 0.750 0.128 Ga
0.320 0.045 0.642 Ga
0.320 0.455 0.642 Ga
0.500 0.000 0.000 Ga
0.500 0.500 0.000 Ga
0.680 0.545 0.358 Ga
0.680 0.955 0.358 Ga
0.936 0.250 0.872 Ga
0.219 0.750 0.438 Pt
0.781 0.250 0.562 Pt

SrZr3Ta | the Alexandria database | PBE-GGA | optimized geometry; raw total energy = -5.73 eV per atom; total magnetic moment = 0.0000 μB/atom; DOS at the Fermi energy = 10.7 states/eV per cell
1.0
5.032 0.000 0.000
0.000 5.032 0.000
0.000 0.000 5.032
Sr Zr Ta
1 3 1
Direct
0.000 0.000 0.000 Sr
0.000 0.000 0.500 Zr
0.000 0.500 0.000 Zr
0.500 0.000 0.000 Zr
0.500 0.500 0.500 Ta

HoSnTe4Pb2 | the Alexandria database | PBE-GGA | optimized geometry; raw total energy = -4.13 eV per atom; E_form (uncorrected) = -0.559 eV/atom; total magnetic moment = 0.0000 μB/atom; DOS at the Fermi energy = 3.4 states/eV per cell
1.0
7.885 0.000 0.000
0.000 4.316 0.000
-2.137 0.000 7.926
Ho Sn Te Pb
1 1 4 2
Direct
0.000 0.000 0.000 Ho
0.500 0.500 0.000 Sn
0.231 0.500 0.223 Te
0.251 0.000 0.763 Te
0.749 0.000 0.237 Te
0.769 0.500 0.777 Te
0.000 0.500 0.500 Pb
0.500 0.000 0.500 Pb